[1]
First-principles (GGA-PBEsol) data for an optimized crystal structure of AlNiOs2, as listed in Alexandria via LeMat-Bulk.

abc: 2.929 4.184 4.886
angles: 115.35 107.44 90.00
Element x y z (fractional)
Os: 0.995 0.995 0.991
Os: 0.758 0.258 0.516
Al: 0.511 0.511 0.022
Ni: 0.235 0.735 0.471

Total magnetization (μB/f.u.): 0.00
Formation energy (kcal/mol of atoms): -2.2

=====

[2]
First-principles (GGA-PBEsol) data for an optimized crystal structure of AlNi2Os, as listed in Alexandria via LeMat-Bulk.

abc: 2.680 4.274 4.905
angles: 115.83 105.85 90.00
Element x y z (fractional)
Os: 0.497 0.497 0.995
Ni: 0.999 0.999 0.999
Ni: 0.742 0.242 0.484
Al: 0.261 0.761 0.523

Total magnetization (μB/f.u.): 0.00
Formation energy (kcal/mol of atoms): -3.2

=====

[3]
First-principles (GGA-PBEsol) data for an optimized crystal structure of AlNiP, as listed in Alexandria via LeMat-Bulk.

abc: 2.918 2.918 5.306
angles: 90.00 90.00 120.00
Element x y z (fractional)
Al: 0.000 0.000 0.989
P: 0.333 0.667 0.366
Ni: 0.667 0.333 0.645

Total magnetization (μB/f.u.): 0.00
Formation energy (kcal/mol of atoms): -6.4